Material: BaAcNd
Method: DFT, GGA-PBE
State: optimized geometry

Properties
SG: P4/nmm, No. 129
calculated formation energy: 0.065 eV/atom
M_tot: 0.0 μB/cell

a = 3.998 Å, b = 3.998 Å, c = 17.263 Å
α = 90.00°, β = 90.00°, γ = 90.00°
Sites, in units of the cell vectors:
Ba (0.000, 0.500, 0.603)
Ba (0.500, 0.000, 0.397)
Ac (0.000, 0.500, 0.214)
Ac (0.500, 0.000, 0.786)
Nd (0.500, 0.000, 0.069)
Nd (0.000, 0.500, 0.931)